Model a:
## Co2PdPt3 (PBE)

Data for Co2PdPt3 after structural relaxation.

Values from the calculation:
**ρ**: 15.63 Mg/m³
**Magnetic moment**: 10.90 μB/cell
**V**: 172.0 Å³ per cell

CIF file:
```
data_Co2PdPt3
_space_group_name_H-M_alt 'P -3 m 1'
_space_group_IT_number 164
_space_group_name_Hall '-P 3 2"'
_cell_length_a 5.4844
_cell_length_b 5.4844
_cell_length_c 6.6034
_cell_angle_alpha 90.00
_cell_angle_beta 90.00
_cell_angle_gamma 120.00
loop_
_atom_site_label
_atom_site_fract_x
_atom_site_fract_y
_atom_site_fract_z
Co1 0.0000 0.0000 0.0000
Co2 0.0000 0.5000 0.0000
Pd1 0.3333 0.6667 0.6792
Pt1 0.1666 0.3332 0.3151
```

---

Model b:
## Co2PdPt3 (PBE)

Data for Co2PdPt3 after structural relaxation.

Values from the calculation:
**ρ**: 15.80 Mg/m³
**Magnetic moment**: 5.34 μB/cell
**V**: 85.1 Å³ per cell

CIF file:
```
data_Co2PdPt3
_space_group_name_H-M_alt 'P 4/m m m'
_space_group_IT_number 123
_space_group_name_Hall '-P 4 2'
_cell_length_a 2.7207
_cell_length_b 2.7207
_cell_length_c 11.4949
_cell_angle_alpha 90.00
_cell_angle_beta 90.00
_cell_angle_gamma 90.00
loop_
_atom_site_label
_atom_site_fract_x
_atom_site_fract_y
_atom_site_fract_z
Co1 0.0000 0.0000 0.1622
Pd1 0.0000 0.0000 0.5000
Pt1 0.5000 0.5000 0.0000
Pt2 0.5000 0.5000 0.3173
```

---

What is the stability order? It is model b, model a, from most stable to least stable.

---

Model a:
## CoPd2Pt2 (PBE)

Data for CoPd2Pt2 after structural relaxation.

Values from the calculation:
**ρ**: 13.57 Mg/m³
**Magnetic moment**: 5.68 μB/cell
**V**: 162.0 Å³ per cell

CIF file:
```
data_CoPd2Pt2
_space_group_name_H-M_alt 'P 4/m b m'
_space_group_IT_number 127
_space_group_name_Hall '-P 4 2ab'
_cell_length_a 6.3915
_cell_length_b 6.3915
_cell_length_c 3.9663
_cell_angle_alpha 90.00
_cell_angle_beta 90.00
_cell_angle_gamma 90.00
loop_
_atom_site_label
_atom_site_fract_x
_atom_site_fract_y
_atom_site_fract_z
Co1 0.0000 0.0000 0.0000
Pd1 0.1590 0.3410 0.5000
Pt1 0.1444 0.6444 0.0000
```

---

Model b:
## CoPd2Pt2 (PBE)

Data for CoPd2Pt2 after structural relaxation.

Values from the calculation:
**ρ**: 14.98 Mg/m³
**Magnetic moment**: 6.64 μB/cell
**V**: 146.8 Å³ per cell

CIF file:
```
data_CoPd2Pt2
_space_group_name_H-M_alt 'I 4/m m m'
_space_group_IT_number 139
_space_group_name_Hall '-I 4 2'
_cell_length_a 2.7400
_cell_length_b 2.7400
_cell_length_c 19.5466
_cell_angle_alpha 90.00
_cell_angle_beta 90.00
_cell_angle_gamma 90.00
loop_
_atom_site_label
_atom_site_fract_x
_atom_site_fract_y
_atom_site_fract_z
Co1 0.0000 0.0000 0.0000
Pd1 0.0000 0.0000 0.1973
Pt1 0.0000 0.0000 0.4086
```

---

Model c:
## CoPd2Pt2 (PBE)

Data for CoPd2Pt2 after structural relaxation.

Values from the calculation:
**ρ**: 14.00 Mg/m³
**Magnetic moment**: 12.42 μB/cell
**V**: 314.0 Å³ per cell

CIF file:
```
data_CoPd2Pt2
_space_group_name_H-M_alt 'C 1 2/m 1'
_space_group_IT_number 12
_cell_length_a 5.3532
_cell_length_b 9.3374
_cell_length_c 6.6413
_cell_angle_alpha 90.00
_cell_angle_beta 108.91
_cell_angle_gamma 90.00
loop_
_space_group_symop_operation_xyz
'x,y,z'
'-x,-y,-z'
'-x,y,-z'
'x,-y,z'
'x+1/2,y+1/2,z'
'-x+1/2,-y+1/2,-z'
'-x+1/2,y+1/2,-z'
'x+1/2,-y+1/2,z'
loop_
_atom_site_label
_atom_site_fract_x
_atom_site_fract_y
_atom_site_fract_z
Co1 0.0000 0.1244 0.0000
Pd1 0.0526 0.5000 0.2071
Pd2 0.1491 0.0000 0.3717
Pt1 0.1519 0.2424 0.7090
```

---

What is the stability order? It is model b, model c, model a, from most stable to least stable.

---

Model a:
## PuCoPd (PBE)

Data for PuCoPd after structural relaxation.

Values from the calculation:
**ρ**: 13.17 Mg/m³
**Magnetic moment**: 16.60 μB/cell
**V**: 206.5 Å³ per cell

CIF file:
```
data_PuCoPd
_space_group_name_H-M_alt 'I m m a'
_space_group_IT_number 74
_space_group_name_Hall '-I 2b 2'
_cell_length_a 5.1540
_cell_length_b 5.3919
_cell_length_c 7.4298
_cell_angle_alpha 90.00
_cell_angle_beta 90.00
_cell_angle_gamma 90.00
loop_
_atom_site_label
_atom_site_fract_x
_atom_site_fract_y
_atom_site_fract_z
Pu1 0.0000 0.2500 0.1215
Co1 0.2500 0.2500 0.7500
Pd1 0.0000 0.0000 0.5000
```

---

Model b:
## PuCoPd (PBE)

Data for PuCoPd after structural relaxation.

Values from the calculation:
**ρ**: 12.75 Mg/m³
**Magnetic moment**: 16.66 μB/cell
**V**: 213.2 Å³ per cell

CIF file:
```
data_PuCoPd
_space_group_name_H-M_alt 'C m c m'
_space_group_IT_number 63
_space_group_name_Hall '-C 2c 2'
_cell_length_a 3.6053
_cell_length_b 16.3739
_cell_length_c 3.6113
_cell_angle_alpha 90.00
_cell_angle_beta 90.00
_cell_angle_gamma 90.00
loop_
_atom_site_label
_atom_site_fract_x
_atom_site_fract_y
_atom_site_fract_z
Pu1 0.0000 0.1053 0.2500
Co1 0.0000 0.4553 0.2500
Pd1 0.0000 0.2923 0.2500
```

---

What is the stability order? It is model a, model b, from most stable to least stable.

---

Model a:
## Rb2CoPd (PBE)

Data for Rb2CoPd after structural relaxation.

Values from the calculation:
**ρ**: 2.91 Mg/m³
**Magnetic moment**: 8.49 μB/cell
**V**: 768.7 Å³ per cell

CIF file:
```
data_Rb2CoPd
_space_group_name_H-M_alt 'I -4 2 d'
_space_group_IT_number 122
_space_group_name_Hall 'I -4 2bw'
_cell_length_a 12.7155
_cell_length_b 12.7155
_cell_length_c 4.7543
_cell_angle_alpha 90.00
_cell_angle_beta 90.00
_cell_angle_gamma 90.00
loop_
_atom_site_label
_atom_site_fract_x
_atom_site_fract_y
_atom_site_fract_z
Rb1 0.0625 0.2500 0.1250
Co1 0.0000 0.0000 0.5000
Pd1 0.0000 0.0000 0.0000
```

---

Model b:
## Rb2CoPd (PBE)

Data for Rb2CoPd after structural relaxation.

Values from the calculation:
**ρ**: 4.14 Mg/m³
**Magnetic moment**: 8.97 μB/cell
**V**: 540.0 Å³ per cell

CIF file:
```
data_Rb2CoPd
_space_group_name_H-M_alt 'F m -3 m'
_space_group_IT_number 225
_space_group_name_Hall '-F 4 2 3'
_cell_length_a 8.1431
_cell_length_b 8.1431
_cell_length_c 8.1431
_cell_angle_alpha 90.00
_cell_angle_beta 90.00
_cell_angle_gamma 90.00
loop_
_atom_site_label
_atom_site_fract_x
_atom_site_fract_y
_atom_site_fract_z
Rb1 0.2500 0.2500 0.2500
Co1 0.0000 0.0000 0.0000
Pd1 0.0000 0.0000 0.5000
```

---

What is the stability order? It is model a, model b, from most stable to least stable.

---

Model a:
## CoRePd (PBE)

Data for CoRePd after structural relaxation.

Values from the calculation:
**ρ**: 13.70 Mg/m³
**Magnetic moment**: 6.70 μB/cell
**V**: 170.4 Å³ per cell

CIF file:
```
data_CoRePd
_space_group_name_H-M_alt 'C 1 2/m 1'
_space_group_IT_number 12
_cell_length_a 8.5794
_cell_length_b 2.6271
_cell_length_c 8.5080
_cell_angle_alpha 90.00
_cell_angle_beta 117.30
_cell_angle_gamma 90.00
loop_
_space_group_symop_operation_xyz
'x,y,z'
'-x,-y,-z'
'-x,y,-z'
'x,-y,z'
'x+1/2,y+1/2,z'
'-x+1/2,-y+1/2,-z'
'-x+1/2,y+1/2,-z'
'x+1/2,-y+1/2,z'
loop_
_atom_site_label
_atom_site_fract_x
_atom_site_fract_y
_atom_site_fract_z
Co1 0.1750 0.0000 0.0696
Re1 0.1694 0.5000 0.5856
Pd1 0.0125 0.5000 0.2241
```

---

Model b:
## CoRePd (PBE)

Data for CoRePd after structural relaxation.

Values from the calculation:
**ρ**: 14.07 Mg/m³
**Magnetic moment**: 1.15 μB/cell
**V**: 41.5 Å³ per cell

CIF file:
```
data_CoRePd
_space_group_name_H-M_alt 'P 3 m 1'
_space_group_IT_number 156
_cell_length_a 2.7118
_cell_length_b 2.7118
_cell_length_c 6.5142
_cell_angle_alpha 90.00
_cell_angle_beta 90.00
_cell_angle_gamma 120.00
loop_
_space_group_symop_operation_xyz
'x,y,z'
'-y,x-y,z'
'-x+y,-x,z'
'-y,-x,z'
'-x+y,y,z'
'x,x-y,z'
loop_
_atom_site_label
_atom_site_fract_x
_atom_site_fract_y
_atom_site_fract_z
Co1 0.0000 0.0000 0.0000
Re1 0.3333 0.6667 0.6940
Pd1 0.6667 0.3333 0.3361
```

---

What is the stability order? It is model b, model a, from most stable to least stable.

---

Model a:
## Co2RePd (PBE)

Data for Co2RePd after structural relaxation.

Values from the calculation:
**ρ**: 12.89 Mg/m³
**Magnetic moment**: 8.27 μB/cell
**V**: 158.6 Å³ per cell

CIF file:
```
data_Co2RePd
_space_group_name_H-M_alt 'R -3 m'
_space_group_IT_number 166
_space_group_name_Hall '-R 3 2"'
_cell_length_a 2.6813
_cell_length_b 2.6813
_cell_length_c 25.4703
_cell_angle_alpha 90.00
_cell_angle_beta 90.00
_cell_angle_gamma 120.00
loop_
_atom_site_label
_atom_site_fract_x
_atom_site_fract_y
_atom_site_fract_z
Co1 0.0000 0.0000 0.2482
Re1 0.0000 0.0000 0.5000
Pd1 0.0000 0.0000 0.0000
```

---

Model b:
## Co2RePd (PBE)

Data for Co2RePd after structural relaxation.

Values from the calculation:
**ρ**: 13.28 Mg/m³
**Magnetic moment**: 8.80 μB/cell
**V**: 205.3 Å³ per cell

CIF file:
```
data_Co2RePd
_space_group_name_H-M_alt 'F m -3 m'
_space_group_IT_number 225
_space_group_name_Hall '-F 4 2 3'
_cell_length_a 5.8997
_cell_length_b 5.8997
_cell_length_c 5.8997
_cell_angle_alpha 90.00
_cell_angle_beta 90.00
_cell_angle_gamma 90.00
loop_
_atom_site_label
_atom_site_fract_x
_atom_site_fract_y
_atom_site_fract_z
Co1 0.2500 0.2500 0.2500
Re1 0.0000 0.0000 0.0000
Pd1 0.0000 0.0000 0.5000
```

---

Model c:
## Co2RePd (PBE)

Data for Co2RePd after structural relaxation.

Values from the calculation:
**ρ**: 12.07 Mg/m³
**Magnetic moment**: 0.00 μB/cell
**V**: 225.9 Å³ per cell

CIF file:
```
data_Co2RePd
_space_group_name_H-M_alt 'I -4 2 d'
_space_group_IT_number 122
_space_group_name_Hall 'I -4 2bw'
_cell_length_a 6.5424
_cell_length_b 6.5424
_cell_length_c 5.2770
_cell_angle_alpha 90.00
_cell_angle_beta 90.00
_cell_angle_gamma 90.00
loop_
_atom_site_label
_atom_site_fract_x
_atom_site_fract_y
_atom_site_fract_z
Co1 0.2221 0.2500 0.1250
Re1 0.0000 0.0000 0.0000
Pd1 0.0000 0.0000 0.5000
```

---

What is the stability order? It is model a, model b, model c, from most stable to least stable.